Ti3BAs | GGA-PBEsol | relaxed

a = 4.551 Å, b = 4.551 Å, c = 4.551 Å
α = 90.00°, β = 90.00°, γ = 90.00°
Positions (direct):
Ti: 0.500 0.000 0.000
Ti: 0.000 0.500 0.000
B: 0.500 0.500 0.500
Ti: 0.000 0.000 0.500
As: 0.000 0.000 0.000

The density of states at the Fermi level is 5.4 states/eV/f.u. The calculation puts the magnetic moment at 0.000 μB per atom. The value obtained for the uncorrected energy is -6.51 eV/atom. As for the formation energy: 0.905 eV/atom.